(1)
This record from Alexandria describes a relaxed structure of YFeW2. The functional is PBE-GGA.

Computed properties:
Magnetization, μB/f.u.: 1.2
Energy of formation from the pure elements, meV/atom: 403.8
Energy relative to the lowest polymorph listed for this composition, meV/atom: 81
Crystal system: orthorhombic

Unit cell a=3.103 b=4.550 c=9.804 alpha=90.00 beta=90.00 gamma=90.00
Space group Immm (No. 71)
Asymmetric unit:
Y  0.000  0.000  0.000 (multiplicity 2)
Fe  0.000  0.000  0.500 (multiplicity 2)
W  0.000  0.500  0.227 (multiplicity 4)



(2)
This record from Alexandria describes a relaxed structure of Y2FeW. The functional is PBE-GGA.

Computed properties:
Magnetization, μB/f.u.: 0.0
Energy of formation from the pure elements, meV/atom: 720.8
Energy relative to the lowest polymorph listed for this composition, meV/atom: 508
Crystal system: cubic

Unit cell a=6.889 b=6.889 c=6.889 alpha=90.00 beta=90.00 gamma=90.00
Space group Fm-3m (No. 225)
Asymmetric unit:
Y  0.250  0.250  0.250 (multiplicity 8)
Fe  0.000  0.000  0.000 (multiplicity 4)
W  0.000  0.000  0.500 (multiplicity 4)



(3)
This record from Alexandria describes a relaxed structure of YFeW2. The functional is PBE-GGA.

Computed properties:
Magnetization, μB/f.u.: 1.8
Energy of formation from the pure elements, meV/atom: 472.6
Energy relative to the lowest polymorph listed for this composition, meV/atom: 149
Crystal system: monoclinic

Unit cell a=2.863 b=4.260 c=6.037 alpha=90.00 beta=101.91 gamma=90.00
Space group Pm (No. 6)
Asymmetric unit:
Y  0.000  0.000  0.000 (multiplicity 1)
Fe  0.734  0.500  0.290 (multiplicity 1)
W  0.284  0.500  0.692 (multiplicity 1)
W  0.502  0.000  0.489 (multiplicity 1)



(4)
This record from Alexandria describes a relaxed structure of YFeW. The functional is PBE-GGA.

Computed properties:
Magnetization, μB/f.u.: 0.0
Energy of formation from the pure elements, meV/atom: 620.6
Energy relative to the lowest polymorph listed for this composition, meV/atom: 349
Crystal system: trigonal

Unit cell a=3.2901 b=3.2901 c=6.2248 alpha=90.00 beta=90.00 gamma=120.00
Space group P3m1 (No. 156)
Asymmetric unit:
Y  0.0000  0.0000  0.0000 (multiplicity 1)
Fe  0.6667  0.3333  0.3601 (multiplicity 1)
W  0.3333  0.6667  0.5787 (multiplicity 1)



(5)
This record from Alexandria describes a relaxed structure of YFeW2. The functional is PBE-GGA.

Computed properties:
Magnetization, μB/f.u.: 0.0
Energy of formation from the pure elements, meV/atom: 805.7
Energy relative to the lowest polymorph listed for this composition, meV/atom: 482
Crystal system: cubic

Unit cell a=6.399 b=6.399 c=6.399 alpha=90.00 beta=90.00 gamma=90.00
Space group Fm-3m (No. 225)
Asymmetric unit:
Y  0.000  0.000  0.000 (multiplicity 4)
Fe  0.000  0.000  0.500 (multiplicity 4)
W  0.250  0.250  0.250 (multiplicity 8)



(6)
This record from Alexandria describes a relaxed structure of Y2FeW. The functional is PBE-GGA.

Computed properties:
Magnetization, μB/f.u.: 1.3
Energy of formation from the pure elements, meV/atom: 674.6
Energy relative to the lowest polymorph listed for this composition, meV/atom: 461
Crystal system: orthorhombic

Unit cell a=3.454 b=4.838 c=9.697 alpha=90.00 beta=90.00 gamma=90.00
Space group Immm (No. 71)
Asymmetric unit:
Y  0.000  0.000  0.208 (multiplicity 4)
Fe  0.000  0.500  0.500 (multiplicity 2)
W  0.000  0.500  0.000 (multiplicity 2)



(7)
This record from Alexandria describes a relaxed structure of YFeW2. The functional is PBE-GGA.

Computed properties:
Magnetization, μB/f.u.: 1.1
Energy of formation from the pure elements, meV/atom: 866.4
Energy relative to the lowest polymorph listed for this composition, meV/atom: 543
Crystal system: tetragonal

Unit cell a=4.541 b=4.541 c=3.320 alpha=90.00 beta=90.00 gamma=90.00
Space group P4/mmm (No. 123)
Asymmetric unit:
Y  0.000  0.000  0.000 (multiplicity 1)
Fe  0.500  0.500  0.000 (multiplicity 1)
W  0.000  0.500  0.500 (multiplicity 2)



(8)
This record from Alexandria describes a relaxed structure of YFeW2. The functional is PBE-GGA.

Computed properties:
Magnetization, μB/f.u.: 1.2
Energy of formation from the pure elements, meV/atom: 568.3
Energy relative to the lowest polymorph listed for this composition, meV/atom: 245
Crystal system: orthorhombic

Unit cell a=3.259 b=4.889 c=8.851 alpha=90.00 beta=90.00 gamma=90.00
Space group Imm2 (No. 44)
Asymmetric unit:
Y  0.000  0.000  0.000 (multiplicity 2)
Fe  0.000  0.500  0.763 (multiplicity 2)
W  0.000  0.000  0.487 (multiplicity 2)
W  0.000  0.500  0.220 (multiplicity 2)



(9)
This record from Alexandria describes a relaxed structure of YFeW2. The functional is PBE-GGA.

Computed properties:
Magnetization, μB/f.u.: 0.0
Energy of formation from the pure elements, meV/atom: 1152.5
Energy relative to the lowest polymorph listed for this composition, meV/atom: 829
Crystal system: tetragonal

Unit cell a=4.828 b=4.828 c=16.216 alpha=90.00 beta=90.00 gamma=90.00
Space group I-42d (No. 122)
Asymmetric unit:
Y  0.000  0.000  0.000 (multiplicity 4)
Fe  0.000  0.000  0.500 (multiplicity 4)
W  0.014  0.250  0.625 (multiplicity 8)



(10)
This record from Alexandria describes a relaxed structure of Y2FeW. The functional is PBE-GGA.

Computed properties:
Magnetization, μB/f.u.: 2.1
Energy of formation from the pure elements, meV/atom: 550.0
Energy relative to the lowest polymorph listed for this composition, meV/atom: 337
Crystal system: monoclinic

Unit cell a=3.122 b=3.617 c=7.473 alpha=90.00 beta=90.11 gamma=90.00
Space group P2/m (No. 10)
Asymmetric unit:
Y  0.000  0.000  0.242 (multiplicity 2)
Fe  0.500  0.500  0.000 (multiplicity 1)
W  0.500  0.500  0.500 (multiplicity 1)



(11)
This record from Alexandria describes a relaxed structure of YFeW2. The functional is PBE-GGA.

Computed properties:
Magnetization, μB/f.u.: 1.6
Energy of formation from the pure elements, meV/atom: 568.0
Energy relative to the lowest polymorph listed for this composition, meV/atom: 245
Crystal system: monoclinic

Unit cell a=2.842 b=4.849 c=5.123 alpha=90.00 beta=99.56 gamma=90.00
Space group P2/m (No. 10)
Asymmetric unit:
Y  0.000  0.000  0.000 (multiplicity 1)
Fe  0.500  0.000  0.500 (multiplicity 1)
W  0.288  0.500  0.744 (multiplicity 2)



(12)
This record from Alexandria describes a relaxed structure of YFeW. The functional is PBE-GGA.

Computed properties:
Magnetization, μB/f.u.: 4.6
Energy of formation from the pure elements, meV/atom: 1975.4
Energy relative to the lowest polymorph listed for this composition, meV/atom: 1704
Crystal system: cubic

Unit cell a=6.499 b=6.499 c=6.499 alpha=90.00 beta=90.00 gamma=90.00
Space group F-43m (No. 216)
Asymmetric unit:
Y  0.000  0.000  0.000 (multiplicity 4)
Fe  0.250  0.250  0.750 (multiplicity 4)
W  0.250  0.250  0.250 (multiplicity 4)



(13)
This record from Alexandria describes a relaxed structure of YFeW2. The functional is PBE-GGA.

Computed properties:
Magnetization, μB/f.u.: 2.1
Energy of formation from the pure elements, meV/atom: 743.6
Energy relative to the lowest polymorph listed for this composition, meV/atom: 420
Crystal system: orthorhombic

Unit cell a=2.724 b=4.838 c=5.396 alpha=90.00 beta=90.00 gamma=90.00
Space group Pmmm (No. 47)
Asymmetric unit:
Y  0.000  0.000  0.000 (multiplicity 1)
Fe  0.000  0.000  0.500 (multiplicity 1)
W  0.500  0.500  0.257 (multiplicity 2)



(14)
This record from Alexandria describes a relaxed structure of YFeW2. The functional is PBE-GGA.

Computed properties:
Magnetization, μB/f.u.: 1.4
Energy of formation from the pure elements, meV/atom: 462.3
Energy relative to the lowest polymorph listed for this composition, meV/atom: 139
Crystal system: tetragonal

Unit cell a=2.977 b=2.977 c=7.881 alpha=90.00 beta=90.00 gamma=90.00
Space group P4/mmm (No. 123)
Asymmetric unit:
Y  0.000  0.000  0.000 (multiplicity 1)
Fe  0.000  0.000  0.500 (multiplicity 1)
W  0.500  0.500  0.308 (multiplicity 2)



(15)
This record from Alexandria describes a relaxed structure of YFeW2. The functional is PBE-GGA.

Computed properties:
Magnetization, μB/f.u.: 1.4
Energy of formation from the pure elements, meV/atom: 673.1
Energy relative to the lowest polymorph listed for this composition, meV/atom: 350
Crystal system: trigonal

Unit cell a=2.9251 b=2.9251 c=28.1785 alpha=90.00 beta=90.00 gamma=120.00
Space group R-3m (No. 166, hexagonal axes)
Asymmetric unit:
Y  0.0000  0.0000  0.0000 (multiplicity 3)
Fe  0.0000  0.0000  0.5000 (multiplicity 3)
W  0.0000  0.0000  0.2375 (multiplicity 6)